KNbCuS3: relaxed, GGA-PBE.

The electronic total energy comes out at -5.30 eV/atom. The calculation puts the magnetization at 0.16 μB per atom.

It has space group Pnma (No. 62), with a = 10.983 Å, b = 3.642 Å, c = 11.860 Å, α = 90.00°, β = 90.00° and γ = 90.00°. The distinct sites, in fractional coordinates, are K at (0.165, 0.250, 0.016), Nb at (0.047, 0.250, 0.340), Cu at (0.248, 0.750, 0.221), S at (0.039, 0.750, 0.191), S at (0.093, 0.250, 0.575) and S at (0.235, 0.750, 0.833).

Mo: relaxed, GGA-PBE.

The calculation puts the magnetization at 0.00 μB per atom. The energy relative to the elements comes out at 124 meV per atom. The energy above the most stable polymorph in this dataset comes out at 124 meV/atom.

It has space group R-3m (No. 166, hexagonal axes), with a = 4.2435 Å, b = 4.2435 Å, c = 2.9114 Å, α = 90.00°, β = 90.00° and γ = 120.00°. The distinct sites, in fractional coordinates, are Mo at (0.0000, 0.0000, 0.0000).

Question: The highest magnetization belongs to which entry?
Answer: KNbCuS3

Question: magnetization of number 2 (Mo)?
Answer: 0.00 μB per atom